VASP calculation (PBE) on a relaxed HoTm2Al3NiAu2 crystal.

```
HoTm2Al3NiAu2
1.0
4.0602 0.0000 0.0000
0.0000 6.1629 3.5493
0.0000 -6.1629 3.5493
Ho Tm Al Ni Au
1 2 3 1 2
Direct
0.0000 0.0000 0.0000
0.0000 0.1981 0.5984
0.0000 0.5984 0.1981
0.5000 0.3716 0.3716
0.5000 0.5979 0.8239
0.5000 0.8239 0.5979
0.0000 0.5961 0.5961
0.5000 0.2669 0.9306
0.5000 0.9306 0.2669
```

electronic total energy	-4.864	eV per atom